# 1
Tm2ZnCo5Si2 | GGA-PBE | relaxed

Output
* energy relative to the elements, uncorrected: -0.42 eV per atom
* spin magnetization: 0.00 μB/f.u.
* VASP energy: -121.553 eV per cell

Cell: 9.3169 9.3169 3.2511 Å, 90.00 90.00 90.00°
Space group P4/mbm (No. 127)
One atom of each set of equivalent atoms:
1 Tm 0.1762 0.3238 0.0000 [4 per cell]
2 Zn 0.0000 0.0000 0.0000 [2 per cell]
3 Co 0.0000 0.5000 0.5000 [2 per cell]
4 Co 0.0655 0.7853 0.5000 [8 per cell]
5 Si 0.1215 0.6215 0.0000 [4 per cell]



# 2
CsHf2FeI | GGA-PBE | relaxed

Output
* energy relative to the elements, uncorrected: 1.75 eV per atom
* spin magnetization: 3.31 μB/f.u.
* VASP energy: -22.026 eV per cell

Cell: 5.3308 5.3308 6.5238 Å, 90.00 90.00 90.00°
Space group P4/mmm (No. 123)
One atom of each set of equivalent atoms:
1 Cs 0.0000 0.0000 0.0000 [1 per cell]
2 Hf 0.0000 0.5000 0.5000 [2 per cell]
3 Fe 0.5000 0.5000 0.0000 [1 per cell]
4 I 0.0000 0.0000 0.5000 [1 per cell]



# 3
ZrCd3B | GGA-PBE | relaxed

Output
* spin magnetization: 0.00 μB/f.u.
* VASP energy: -14.887 eV per cell
* ΔE to the lowest computed polymorph: 0.0 meV/atom
* formation energy from the elements: 0.617 eV per atom

Cell: 4.6000 4.6000 4.6000 Å, 90.00 90.00 90.00°
Space group Pm-3m (No. 221)
One atom of each set of equivalent atoms:
1 Zr 0.0000 0.0000 0.0000 [1 per cell]
2 Cd 0.0000 0.5000 0.5000 [3 per cell]
3 B 0.5000 0.5000 0.5000 [1 per cell]



# 4
Ac4Tl2TeSe | GGA-PBE | relaxed

Output
* energy relative to the elements, uncorrected: -0.96 eV per atom
* spin magnetization: 0.00 μB/f.u.
* VASP energy: -35.472 eV per cell

Cell: 7.8843 4.5619 8.7433 Å, 90.00 107.57 90.00°
Space group P2/m (No. 10)
One atom of each set of equivalent atoms:
1 Ac 0.2371 0.0000 0.2356 [2 per cell]
2 Ac 0.2446 0.5000 0.7578 [2 per cell]
3 Tl 0.0000 0.0000 0.5000 [1 per cell]
4 Tl 0.5000 0.5000 0.5000 [1 per cell]
5 Te 0.5000 0.0000 0.0000 [1 per cell]
6 Se 0.0000 0.5000 0.0000 [1 per cell]



# 5
Re2SiBr | GGA-PBE | relaxed

Output
* energy relative to the elements, uncorrected: 0.61 eV per atom
* spin magnetization: 0.00 μB/f.u.
* VASP energy: -59.128 eV per cell
* ΔE to the lowest computed polymorph: 319.8 meV/atom

Cell: 8.1533 2.9938 7.6404 Å, 90.00 120.85 90.00°
Space group C2/m (No. 12)
One atom of each set of equivalent atoms:
1 Re 0.2192 0.0000 0.3480 [4 per cell]
2 Si 0.0000 0.0000 0.5000 [2 per cell]
3 Br 0.0000 0.5000 0.0000 [2 per cell]



# 6
Er2MgP3Rh12 | GGA-PBE | relaxed

Output
* spin magnetization: 0.00 μB/f.u.
* VASP energy: -365.421 eV per cell
* formation energy from the elements: -0.369 eV per atom

Cell: 8.8243 8.8243 12.8212 Å, 90.00 90.00 120.00°
Space group R-3m (No. 166, hexagonal axes)
One atom of each set of equivalent atoms:
1 Er 0.0000 0.0000 0.1274 [6 per cell]
2 Mg 0.0000 0.0000 0.5000 [3 per cell]
3 P 0.0000 0.5000 0.0000 [9 per cell]
4 Rh 0.0042 0.5021 0.8265 [18 per cell]
5 Rh 0.0232 0.5116 0.3822 [18 per cell]